(1)
DFT (PBE-GGA) results for a relaxed BaLiY2 crystal.

a = 3.894 Å, b = 3.891 Å, c = 9.312 Å
α = 90.00°, β = 90.03°, γ = 90.00°
Space group Pm (No. 6)
Unique sites:
Ba  0.000  0.000  0.000 (multiplicity 1)
Li  0.501  0.500  0.735 (multiplicity 1)
Y  0.001  0.000  0.550 (multiplicity 1)
Y  0.501  0.500  0.319 (multiplicity 1)

Properties
mass density	3790	kg/m³
energy of formation from the pure elements	0.137	eV per atom
DOS(E_F)	5.62	states/eV/f.u.
E above lowest polymorph	0.0000	eV per atom

=====

(2)
DFT (PBE-GGA) results for a relaxed Ba2LiY crystal.

a = 4.086 Å, b = 4.086 Å, c = 10.164 Å
α = 90.00°, β = 90.00°, γ = 90.00°
Space group P4mm (No. 99)
Unique sites:
Ba  0.000  0.000  0.000 (multiplicity 1)
Ba  0.500  0.500  0.348 (multiplicity 1)
Li  0.000  0.000  0.573 (multiplicity 1)
Y  0.500  0.500  0.726 (multiplicity 1)

Properties
mass density	3626	kg/m³
energy of formation from the pure elements	0.164	eV per atom
DOS(E_F)	5.74	states/eV/f.u.
E above lowest polymorph	0.0000	eV per atom

=====

(3)
DFT (PBE-GGA) results for a relaxed BaLi2Y crystal.

a = 3.7244 Å, b = 3.7244 Å, c = 33.0140 Å
α = 90.00°, β = 90.00°, γ = 120.00°
Space group R3m (No. 160, hexagonal axes)
Unique sites:
Ba  0.0000  0.0000  0.0000 (multiplicity 3)
Li  0.0000  0.0000  0.4889 (multiplicity 3)
Li  0.0000  0.0000  0.7583 (multiplicity 3)
Y  0.0000  0.0000  0.2339 (multiplicity 3)

Properties
mass density	3016	kg/m³
energy of formation from the pure elements	0.236	eV per atom
DOS(E_F)	4.54	states/eV/f.u.
E above lowest polymorph	0.0824	eV per atom

=====

(4)
DFT (PBE-GGA) results for a relaxed BaLiY2 crystal.

a = 3.940 Å, b = 5.928 Å, c = 11.640 Å
α = 90.00°, β = 90.00°, γ = 90.00°
Space group Imm2 (No. 44)
Unique sites:
Ba  0.000  0.000  0.000 (multiplicity 2)
Li  0.000  0.500  0.733 (multiplicity 2)
Y  0.000  0.000  0.446 (multiplicity 2)
Y  0.000  0.500  0.213 (multiplicity 2)

Properties
mass density	3935	kg/m³
energy of formation from the pure elements	0.250	eV per atom
DOS(E_F)	6.21	states/eV/f.u.
E above lowest polymorph	0.1135	eV per atom

=====

(5)
DFT (PBE-GGA) results for a relaxed BaLiY3 crystal.

a = 5.832 Å, b = 5.832 Å, c = 5.832 Å
α = 90.00°, β = 90.00°, γ = 90.00°
Space group Pm-3m (No. 221)
Unique sites:
Ba  0.000  0.000  0.000 (multiplicity 1)
Li  0.500  0.500  0.500 (multiplicity 1)
Y  0.000  0.000  0.500 (multiplicity 3)

Properties
mass density	3441	kg/m³
energy of formation from the pure elements	1.022	eV per atom
DOS(E_F)	2.04	states/eV/f.u.
E above lowest polymorph	0.6498	eV per atom

=====

(6)
DFT (PBE-GGA) results for a relaxed BaLiY2 crystal.

a = 3.805 Å, b = 3.805 Å, c = 9.527 Å
α = 90.00°, β = 90.00°, γ = 90.00°
Space group P4/mmm (No. 123)
Unique sites:
Ba  0.000  0.000  0.000 (multiplicity 1)
Li  0.000  0.000  0.500 (multiplicity 1)
Y  0.500  0.500  0.318 (multiplicity 2)

Properties
mass density	3878	kg/m³
energy of formation from the pure elements	0.218	eV per atom
DOS(E_F)	7.02	states/eV/f.u.
E above lowest polymorph	0.0810	eV per atom

=====

(7)
DFT (PBE-GGA) results for a relaxed BaLiY2 crystal.

a = 6.966 Å, b = 12.741 Å, c = 3.601 Å
α = 90.00°, β = 117.16°, γ = 90.00°
Space group C2/m (No. 12)
Unique sites:
Ba  0.000  0.000  0.000 (multiplicity 2)
Li  0.000  0.500  0.000 (multiplicity 2)
Y  0.250  0.250  0.500 (multiplicity 4)

Properties
mass density	3762	kg/m³
energy of formation from the pure elements	0.282	eV per atom
DOS(E_F)	6.98	states/eV/f.u.
E above lowest polymorph	0.1458	eV per atom

=====

(8)
DFT (PBE-GGA) results for a relaxed Ba2LiY crystal.

a = 4.0037 Å, b = 4.0037 Å, c = 37.1616 Å
α = 90.00°, β = 90.00°, γ = 120.00°
Space group R3m (No. 160, hexagonal axes)
Unique sites:
Ba  0.0000  0.0000  0.0000 (multiplicity 3)
Ba  0.0000  0.0000  0.2304 (multiplicity 3)
Li  0.0000  0.0000  0.4847 (multiplicity 3)
Y  0.0000  0.0000  0.7518 (multiplicity 3)

Properties
mass density	3578	kg/m³
energy of formation from the pure elements	0.266	eV per atom
DOS(E_F)	5.46	states/eV/f.u.
E above lowest polymorph	0.1016	eV per atom

=====

(9)
DFT (PBE-GGA) results for a relaxed Ba2LiY crystal.

a = 4.370 Å, b = 6.268 Å, c = 11.986 Å
α = 90.00°, β = 90.00°, γ = 90.00°
Space group Immm (No. 71)
Unique sites:
Ba  0.000  0.000  0.224 (multiplicity 4)
Li  0.000  0.500  0.500 (multiplicity 2)
Y  0.000  0.500  0.000 (multiplicity 2)

Properties
mass density	3748	kg/m³
energy of formation from the pure elements	0.260	eV per atom
DOS(E_F)	5.47	states/eV/f.u.
E above lowest polymorph	0.0952	eV per atom

=====

(10)
DFT (PBE-GGA) results for a relaxed BaLi2Y crystal.

a = 3.806 Å, b = 5.540 Å, c = 6.554 Å
α = 90.00°, β = 106.48°, γ = 90.00°
Space group Pm (No. 6)
Unique sites:
Ba  0.000  0.000  0.000 (multiplicity 1)
Li  0.597  0.500  0.190 (multiplicity 1)
Li  0.731  0.000  0.472 (multiplicity 1)
Y  0.305  0.500  0.618 (multiplicity 1)

Properties
mass density	3009	kg/m³
energy of formation from the pure elements	0.216	eV per atom
DOS(E_F)	4.56	states/eV/f.u.
E above lowest polymorph	0.0630	eV per atom

=====

(11)
DFT (PBE-GGA) results for a relaxed Ba3LiY crystal.

a = 6.323 Å, b = 6.323 Å, c = 6.323 Å
α = 90.00°, β = 90.00°, γ = 90.00°
Space group Pm-3m (No. 221)
Unique sites:
Ba  0.000  0.000  0.500 (multiplicity 3)
Li  0.000  0.000  0.000 (multiplicity 1)
Y  0.500  0.500  0.500 (multiplicity 1)

Properties
mass density	3335	kg/m³
energy of formation from the pure elements	0.460	eV per atom
DOS(E_F)	14.29	states/eV/f.u.
E above lowest polymorph	0.0000	eV per atom

=====

(12)
DFT (PBE-GGA) results for a relaxed BaLiY2 crystal.

a = 5.746 Å, b = 5.746 Å, c = 4.170 Å
α = 90.00°, β = 90.00°, γ = 90.00°
Space group P4/mmm (No. 123)
Unique sites:
Ba  0.000  0.000  0.000 (multiplicity 1)
Li  0.500  0.500  0.000 (multiplicity 1)
Y  0.000  0.500  0.500 (multiplicity 2)

Properties
mass density	3885	kg/m³
energy of formation from the pure elements	0.388	eV per atom
DOS(E_F)	5.97	states/eV/f.u.
E above lowest polymorph	0.2510	eV per atom

=====

(13)
DFT (PBE-GGA) results for a relaxed Ba2LiY crystal.

a = 9.601 Å, b = 9.601 Å, c = 7.280 Å
α = 90.00°, β = 90.00°, γ = 90.00°
Space group I-42d (No. 122)
Unique sites:
Ba  0.215  0.250  0.125 (multiplicity 8)
Li  0.000  0.000  0.000 (multiplicity 4)
Y  0.000  0.000  0.500 (multiplicity 4)

Properties
mass density	3667	kg/m³
energy of formation from the pure elements	0.390	eV per atom
DOS(E_F)	7.14	states/eV/f.u.
E above lowest polymorph	0.2254	eV per atom

=====

(14)
DFT (PBE-GGA) results for a relaxed BaLi2Y crystal.

a = 11.226 Å, b = 3.622 Å, c = 6.758 Å
α = 90.00°, β = 98.29°, γ = 90.00°
Space group C2/m (No. 12)
Unique sites:
Ba  0.000  0.000  0.000 (multiplicity 2)
Li  0.243  0.000  0.692 (multiplicity 4)
Y  0.000  0.500  0.500 (multiplicity 2)

Properties
mass density	2933	kg/m³
energy of formation from the pure elements	0.253	eV per atom
DOS(E_F)	4.46	states/eV/f.u.
E above lowest polymorph	0.1001	eV per atom

=====

(15)
DFT (PBE-GGA) results for a relaxed BaLi2Y crystal.

a = 7.913 Å, b = 7.913 Å, c = 7.913 Å
α = 90.00°, β = 90.00°, γ = 90.00°
Space group F-43m (No. 216)
Unique sites:
Ba  0.000  0.000  0.000 (multiplicity 4)
Li  0.000  0.000  0.500 (multiplicity 4)
Li  0.250  0.250  0.250 (multiplicity 4)
Y  0.250  0.250  0.750 (multiplicity 4)

Properties
mass density	3219	kg/m³
energy of formation from the pure elements	0.308	eV per atom
DOS(E_F)	3.96	states/eV/f.u.
E above lowest polymorph	0.1547	eV per atom

=====

(16)
DFT (PBE-GGA) results for a relaxed BaLi2Y crystal.

a = 8.101 Å, b = 8.101 Å, c = 8.101 Å
α = 90.00°, β = 90.00°, γ = 90.00°
Space group Fm-3m (No. 225)
Unique sites:
Ba  0.000  0.000  0.000 (multiplicity 4)
Li  0.250  0.250  0.250 (multiplicity 8)
Y  0.000  0.000  0.500 (multiplicity 4)

Properties
mass density	3000	kg/m³
energy of formation from the pure elements	0.210	eV per atom
DOS(E_F)	5.22	states/eV/f.u.
E above lowest polymorph	0.0563	eV per atom

=====

(17)
DFT (PBE-GGA) results for a relaxed BaLi2Y crystal.

a = 12.356 Å, b = 3.688 Å, c = 5.914 Å
α = 90.00°, β = 108.62°, γ = 90.00°
Space group Cm (No. 8)
Unique sites:
Ba  0.000  0.000  0.000 (multiplicity 2)
Li  0.050  0.500  0.530 (multiplicity 2)
Li  0.239  0.000  0.809 (multiplicity 2)
Y  0.296  0.500  0.368 (multiplicity 2)

Properties
mass density	3122	kg/m³
energy of formation from the pure elements	0.197	eV per atom
DOS(E_F)	4.40	states/eV/f.u.
E above lowest polymorph	0.0436	eV per atom

=====

(18)
DFT (PBE-GGA) results for a relaxed BaLi2YZn crystal.

a = 5.263 Å, b = 5.263 Å, c = 5.879 Å
α = 90.00°, β = 90.00°, γ = 90.00°
Space group P4/mmm (No. 123)
Unique sites:
Ba  0.000  0.000  0.000 (multiplicity 1)
Li  0.000  0.500  0.000 (multiplicity 2)
Y  0.000  0.000  0.500 (multiplicity 1)
Zn  0.500  0.500  0.500 (multiplicity 1)

Properties
mass density	3115	kg/m³
energy of formation from the pure elements	1.145	eV per atom
DOS(E_F)	5.93	states/eV/f.u.

=====

(19)
DFT (PBE-GGA) results for a relaxed BaLiZn2 crystal.

a = 3.639 Å, b = 3.639 Å, c = 7.488 Å
α = 90.00°, β = 90.00°, γ = 90.00°
Space group P4/mmm (No. 123)
Unique sites:
Ba  0.000  0.000  0.000 (multiplicity 1)
Li  0.000  0.000  0.500 (multiplicity 1)
Zn  0.500  0.500  0.325 (multiplicity 2)

Properties
mass density	4607	kg/m³
energy of formation from the pure elements	-0.063	eV per atom
DOS(E_F)	2.88	states/eV/f.u.
E above lowest polymorph	0.1119	eV per atom

=====

(20)
DFT (PBE-GGA) results for a relaxed BaLi2Zn3 crystal.

a = 10.870 Å, b = 9.019 Å, c = 5.453 Å
α = 90.00°, β = 90.00°, γ = 90.00°
Space group Cmcm (No. 63)
Unique sites:
Ba  0.000  0.181  0.250 (multiplicity 4)
Li  0.209  0.500  0.000 (multiplicity 8)
Zn  0.000  0.421  0.750 (multiplicity 4)
Zn  0.192  0.236  0.750 (multiplicity 8)

Properties
mass density	4317	kg/m³
energy of formation from the pure elements	-0.155	eV per atom
DOS(E_F)	3.48	states/eV/f.u.